# CoP4O11 | Alexandria via LeMat-Bulk | GGA+U | relaxed
data_CoP4O11
_chemical_formula_sum 'Co4 P16 O44'
_cell_length_a 9.328
_cell_length_b 9.366
_cell_length_c 10.886
_cell_angle_alpha 109.20
_cell_angle_beta 108.51
_cell_angle_gamma 90.42
_symmetry_space_group_name_H-M 'P 1'
_symmetry_Int_Tables_number 1
loop_
_symmetry_equiv_pos_as_xyz
'x,y,z'
loop_
_atom_site_label
_atom_site_type_symbol
_atom_site_fract_x
_atom_site_fract_y
_atom_site_fract_z
Co1 Co 0.231 0.771 0.504
Co2 Co 0.746 0.720 0.982
Co3 Co 0.254 0.280 0.018
Co4 Co 0.769 0.229 0.496
P1 P 0.433 0.753 0.076
P2 P 0.765 0.924 0.612
P3 P 0.093 0.945 0.757
P4 P 0.564 0.909 0.771
P5 P 0.907 0.599 0.244
P6 P 0.414 0.610 0.283
P7 P 0.737 0.586 0.441
P8 P 0.096 0.723 0.911
P9 P 0.904 0.277 0.089
P10 P 0.263 0.414 0.559
P11 P 0.586 0.390 0.717
P12 P 0.093 0.401 0.756
P13 P 0.436 0.091 0.229
P14 P 0.907 0.055 0.243
P15 P 0.235 0.076 0.388
P16 P 0.567 0.247 0.924
O1 O 0.473 0.931 0.135
O2 O 0.810 0.905 0.171
O3 O 0.761 0.990 0.505
O4 O 0.251 0.722 0.027
O5 O 0.637 0.972 0.677
O6 O 0.915 0.969 0.744
O7 O 0.090 0.836 0.621
O8 O 0.484 0.698 0.203
O9 O 0.385 0.730 0.399
O10 O 0.058 0.693 0.314
O11 O 0.414 0.816 0.683
O12 O 0.686 0.852 0.862
O13 O 0.800 0.598 0.110
O14 O 0.134 0.863 0.873
O15 O 0.740 0.741 0.561
O16 O 0.818 0.641 0.356
O17 O 0.565 0.536 0.346
O18 O 0.297 0.481 0.184
O19 O 0.971 0.734 0.968
O20 O 0.199 0.533 0.505
O21 O 0.503 0.685 0.969
O22 O 0.922 0.418 0.224
O23 O 0.078 0.582 0.776
O24 O 0.497 0.315 0.031
O25 O 0.801 0.467 0.495
O26 O 0.029 0.266 0.032
O27 O 0.703 0.519 0.816
O28 O 0.435 0.464 0.654
O29 O 0.182 0.359 0.644
O30 O 0.260 0.259 0.439
O31 O 0.866 0.137 0.127
O32 O 0.200 0.402 0.890
O33 O 0.314 0.148 0.138
O34 O 0.586 0.184 0.317
O35 O 0.942 0.307 0.686
O36 O 0.615 0.270 0.601
O37 O 0.516 0.302 0.797
O38 O 0.910 0.164 0.379
O39 O 0.085 0.031 0.256
O40 O 0.363 0.028 0.323
O41 O 0.749 0.278 0.973
O42 O 0.239 0.010 0.495
O43 O 0.190 0.095 0.829
O44 O 0.527 0.069 0.865
# polymorph energy (0 for the lowest one)	0.005	eV per atom
# total DFT energy (no corrections)	-450.4	eV per cell